The following is a DFT calculation (PBE) of AcSnAu11 after structural relaxation.

Cell lengths 5.612, 13.242, 7.555 Å; angles 90.00, 107.99, 90.00 degrees
Space group C2/m (No. 12)
Symmetry-distinct sites (fractional):
1 Ac 0.000 0.000 0.000
2 Sn 0.000 0.500 0.500
3 Au 0.000 0.000 0.500
4 Au 0.087 0.393 0.211
5 Au 0.137 0.181 0.345
6 Au 0.250 0.250 0.000

Its magnetization is 0.0 μB/cell. Its energy relative to the elements is -236 meV per atom.